No. 1
InReSi2Au | PBE | relaxed

- Fermi-level density of states: 0.590 states/eV per atom
- Calculated total energy: -19.32 eV/cell
- Formation energy from raw total energies: 1997.4 meV per atom

abc: 4.995 4.995 5.056
angles: 90.00 90.00 90.00
Fractional coordinates of all 5 atoms:
In: 0.000 0.000 0.000
Re: 0.500 0.500 0.500
Si: 0.000 0.500 0.000
Si: 0.500 0.000 0.000
Au: 0.000 0.000 0.500

=====

No. 2
ZnInRe2Au | PBE | relaxed

- Fermi-level density of states: 1.055 states/eV per atom
- Formation enthalpy at 0 K: 230.7 kJ/mol of atoms
- Calculated total energy: -20.23 eV/cell

abc: 5.026 5.026 4.990
angles: 90.00 90.00 90.00
Fractional coordinates of all 5 atoms:
Zn: 0.000 0.000 0.000
In: 0.500 0.500 0.500
Re: 0.000 0.500 0.500
Re: 0.500 0.000 0.500
Au: 0.500 0.500 0.000

=====

No. 3
ZrInRe2Au | PBE | relaxed

- Fermi-level density of states: 0.989 states/eV per atom
- Formation enthalpy at 0 K: 201.5 kJ/mol of atoms
- Calculated total energy: -29.02 eV/cell

abc: 4.843 4.843 5.426
angles: 90.00 90.00 90.00
Fractional coordinates of all 5 atoms:
Zr: 0.000 0.000 0.000
In: 0.000 0.000 0.500
Re: 0.000 0.500 0.000
Re: 0.500 0.000 0.000
Au: 0.500 0.500 0.500

=====

No. 4
In2RhAu | PBE | relaxed

- Fermi-level density of states: 0.514 states/eV per atom
- Formation enthalpy at 0 K: 0.9 kJ/mol of atoms
- Calculated total energy: -32.14 eV/cell

abc: 6.049 6.049 6.049
angles: 103.70 103.70 121.76
Fractional coordinates of all 8 atoms:
In: 0.113 0.625 0.988
In: 0.375 0.363 0.488
In: 0.637 0.125 0.012
In: 0.875 0.887 0.512
Rh: 0.000 0.000 0.000
Rh: 0.750 0.250 0.500
Au: 0.250 0.750 0.500
Au: 0.500 0.500 0.000